[1]
## SrMgVP2O8 (PBE with a Hubbard U)

Data for a geometry-optimized SrMgVP2O8 structure.

POSCAR file:
```
SrMgVP2O8
1.0
6.436 -0.199 0.277
-1.614 8.309 -0.187
-1.979 -4.479 7.599
P O Mg V Sr
4 16 2 2 2
Cartesian
0.107 -2.813 6.535
1.914 2.281 6.830
2.735 6.443 1.154
0.929 1.350 0.859
1.277 1.197 5.836
3.313 -1.162 5.882
-2.502 4.882 5.374
3.313 1.787 7.353
1.389 -0.791 3.589
2.591 4.873 1.419
0.251 -1.242 6.270
1.454 4.422 4.100
1.336 7.021 0.980
5.344 -1.251 2.315
-1.143 2.096 3.694
1.566 2.434 1.853
3.986 1.535 3.995
-0.470 1.844 0.336
-0.470 4.793 1.807
1.507 -3.390 6.708
-0.661 6.867 1.548
3.504 -3.236 6.141
1.042 4.210 2.480
1.801 -0.579 5.209
-1.345 0.788 5.851
4.188 2.843 1.838
```

The calculation puts the energy relative to the lowest polymorph listed for this composition at 11.70 kcal/mol of atoms.

[2]
## SrMgVP2O8 (PBE with a Hubbard U)

Data for a geometry-optimized SrMgVP2O8 structure.

POSCAR file:
```
SrMgVP2O8
1.0
-5.098 -0.221 -2.213
2.350 -6.249 -2.254
-2.040 -0.169 9.203
O Mg P Sr V
16 2 4 2 2
Cartesian
-5.372 -1.833 1.202
-2.600 -3.143 -0.603
-6.078 -1.084 4.062
-1.642 -1.349 0.912
-3.131 -0.512 4.895
-3.146 -5.290 3.825
0.584 -4.807 3.534
-0.774 -6.371 5.136
-1.657 -6.127 -0.159
-3.474 -2.849 3.183
-2.188 -3.497 5.339
-0.025 -2.907 -0.300
-1.314 -3.790 1.553
-4.763 -3.733 5.036
-4.014 -0.268 -0.400
1.290 -5.555 0.675
-5.515 -2.741 3.029
0.727 -3.898 1.707
-4.838 -0.390 0.873
0.050 -6.250 3.863
-3.351 -3.863 4.374
-1.437 -2.777 0.362
0.490 -5.084 -1.919
-5.278 -1.555 6.655
-2.432 -5.564 1.832
-2.356 -1.076 2.904
```

The calculation puts the energy relative to the lowest polymorph listed for this composition at 0.00 kcal/mol of atoms.

Values of total DFT energy (no corrections), in order: -87.57; -94.16, all in eV/f.u..